Record 1
{"formula": "Pu3Al9Zn2", "functional": "GGA-PBE", "state": "optimized geometry", "cell": [[4.2273, 0.0000, 1.0425], [1.8517, 7.8398, 1.5833], [0.2213, 0.4494, 8.1944]], "species": ["Pu", "Pu", "Pu", "Al", "Al", "Al", "Al", "Al", "Al", "Al", "Al", "Al", "Zn", "Zn"], "fractional_positions": [[0.0000, 0.0000, 0.0000], [0.3002, 0.6998, 0.6998], [0.6998, 0.3002, 0.3002], [0.0000, 0.5000, 0.5000], [0.6504, 0.9802, 0.7190], [0.8593, 0.4200, 0.8614], [0.3496, 0.0198, 0.2810], [0.8593, 0.8614, 0.4200], [0.1407, 0.1386, 0.5800], [0.1407, 0.5800, 0.1386], [0.6504, 0.7190, 0.9802], [0.3496, 0.2810, 0.0198], [0.5000, 0.6889, 0.3111], [0.5000, 0.3111, 0.6889]], "n_ef_per_ev_fu": 26.043, "volume_a3_per_cell": 268, "e_form_ev_per_atom": -0.232, "magnetic_moment_mub_per_cell": 17.34, "spacegroup": "No. 71"}



Record 2
{"formula": "Pu2Al15Zn2", "functional": "GGA-PBE", "state": "optimized geometry", "cell": [[-0.1906, -4.7570, -5.1685], [5.6522, 2.2746, -3.5011], [4.6269, -4.5026, 2.7743]], "species": ["Al", "Al", "Al", "Al", "Al", "Al", "Al", "Al", "Al", "Al", "Al", "Al", "Al", "Al", "Al", "Pu", "Pu", "Zn", "Zn"], "fractional_positions": [[0.0000, 0.6957, 0.3043], [0.0000, 0.0000, 0.5000], [0.0000, 0.3043, 0.6957], [0.6957, 0.3043, 0.0000], [0.0000, 0.5000, 0.0000], [0.8398, 0.3511, 0.3511], [0.3043, 0.6957, 0.0000], [0.3511, 0.3511, 0.8398], [0.6957, 0.0000, 0.3043], [0.5000, 0.0000, 0.0000], [0.3043, 0.0000, 0.6957], [0.3511, 0.8398, 0.3511], [0.6489, 0.6489, 0.1602], [0.6489, 0.1602, 0.6489], [0.1602, 0.6489, 0.6489], [0.3354, 0.3354, 0.3354], [0.6646, 0.6646, 0.6646], [0.0969, 0.0969, 0.0969], [0.9031, 0.9031, 0.9031]], "n_ef_per_ev_fu": 18.358, "volume_a3_per_cell": 339, "e_form_ev_per_atom": -0.077, "magnetic_moment_mub_per_cell": 10.99, "spacegroup": "No. 166"}



Record 3
{"formula": "PuAl3Zn", "functional": "GGA-PBE", "state": "optimized geometry", "cell": [[-1.4904, 1.6208, -3.5370], [-0.2195, -3.8166, -1.6566], [-6.0149, -1.6380, -0.6716]], "species": ["Al", "Al", "Al", "Pu", "Zn"], "fractional_positions": [[0.6490, 0.9521, 0.4076], [0.7967, 0.6002, 0.1119], [0.1487, 0.4525, 0.4076], [0.3984, 0.2019, 0.9086], [0.0149, 0.8185, 0.6754]], "n_ef_per_ev_fu": 9.787, "volume_a3_per_cell": 96, "e_form_ev_per_atom": -0.231, "de_polymorph_ev_per_atom": 0.000, "magnetic_moment_mub_per_cell": 5.74, "spacegroup": "No. 107"}



Record 4
{"formula": "PuAl4Zn", "functional": "GGA-PBE", "state": "optimized geometry", "cell": [[5.7209, 0.2633, 1.9856], [1.3075, 6.8156, 1.7514], [0.2773, 0.2633, 6.0493]], "species": ["Al", "Al", "Al", "Al", "Al", "Al", "Al", "Al", "Pu", "Pu", "Zn", "Zn"], "fractional_positions": [[0.2860, 0.0000, 0.7140], [0.8065, 0.5645, 0.4135], [0.5865, 0.4355, 0.1935], [0.7140, 0.0000, 0.2860], [0.4135, 0.5645, 0.8065], [0.1935, 0.4355, 0.5865], [0.1592, 0.7568, 0.1592], [0.8408, 0.2432, 0.8408], [0.1655, 0.2218, 0.1655], [0.8345, 0.7782, 0.8345], [0.6100, 0.2000, 0.6100], [0.3900, 0.8000, 0.3900]], "n_ef_per_ev_fu": 10.953, "volume_a3_per_cell": 228, "e_form_ev_per_atom": -0.127, "magnetic_moment_mub_per_cell": 11.44, "spacegroup": "No. 12"}



Record 5
{"formula": "Pu2AlZn", "functional": "GGA-PBE", "state": "optimized geometry", "cell": [[5.0495, 0.0000, 0.0000], [0.0000, 3.5722, 0.0000], [0.0000, 0.0000, 3.5722]], "species": ["Pu", "Pu", "Al", "Zn"], "fractional_positions": [[0.0000, 0.0000, 0.5000], [0.0000, 0.5000, 0.0000], [0.5000, 0.5000, 0.5000], [0.5000, 0.0000, 0.0000]], "n_ef_per_ev_fu": 5.747, "volume_a3_per_cell": 64, "e_form_ev_per_atom": 0.136, "magnetic_moment_mub_per_cell": 0.00, "spacegroup": "No. 123"}



Record 6
{"formula": "PuZrAl", "functional": "GGA-PBE", "state": "optimized geometry", "cell": [[-2.1881, 0.5772, -1.9233], [1.1416, -1.9825, -1.8938], [-4.0055, -5.1493, 5.3046]], "species": ["Al", "Pu", "Zr"], "fractional_positions": [[0.7634, 0.7634, 0.5268], [0.9493, 0.9493, 0.8986], [0.1373, 0.1373, 0.2746]], "n_ef_per_ev_fu": 6.754, "volume_a3_per_cell": 72, "e_form_ev_per_atom": 0.347, "de_polymorph_ev_per_atom": 0.383, "magnetic_moment_mub_per_cell": 6.31, "spacegroup": "No. 107"}



Record 7
{"formula": "Pu2ZrAl", "functional": "GGA-PBE", "state": "optimized geometry", "cell": [[-2.7056, -1.6373, 0.2225], [-0.1515, -2.9687, -1.1021], [2.2723, -5.4800, 9.8895]], "species": ["Zr", "Al", "Pu", "Pu"], "fractional_positions": [[0.5000, 0.5000, 0.5000], [0.0000, 0.0000, 0.0000], [0.0882, 0.0882, 0.7353], [0.9118, 0.9118, 0.2647]], "n_ef_per_ev_fu": 14.690, "volume_a3_per_cell": 99, "e_form_ev_per_atom": 0.351, "de_polymorph_ev_per_atom": 0.469, "magnetic_moment_mub_per_cell": 11.16, "spacegroup": "No. 166"}



Record 8
{"formula": "PuZrAl", "functional": "GGA-PBE", "state": "optimized geometry", "cell": [[3.1014, 0.0000, 0.0000], [0.0000, 4.9461, 0.0000], [0.0000, -2.4730, 4.2834]], "species": ["Al", "Zr", "Pu"], "fractional_positions": [[0.6101, 0.6667, 0.3333], [0.3971, 0.3333, 0.6667], [0.9928, 0.0000, 0.0000]], "n_ef_per_ev_fu": 5.949, "volume_a3_per_cell": 66, "e_form_ev_per_atom": -0.037, "de_polymorph_ev_per_atom": 0.000, "magnetic_moment_mub_per_cell": 5.44, "spacegroup": "No. 156"}



Record 9
{"formula": "Pu2ZrAl", "functional": "GGA-PBE", "state": "optimized geometry", "cell": [[-2.1840, -1.5634, 4.0088], [1.9817, -3.7732, -0.3918], [3.2616, 1.4690, 2.3498]], "species": ["Al", "Pu", "Pu", "Zr"], "fractional_positions": [[0.5000, 0.0000, 0.0000], [0.0000, 0.5000, 0.0000], [0.0000, 0.0000, 0.5000], [0.5000, 0.5000, 0.5000]], "n_ef_per_ev_fu": 9.127, "volume_a3_per_cell": 88, "e_form_ev_per_atom": -0.118, "de_polymorph_ev_per_atom": 0.000, "magnetic_moment_mub_per_cell": 10.52, "spacegroup": "No. 123"}



Record 10
{"formula": "Pu2ZrAl9", "functional": "GGA-PBE", "state": "optimized geometry", "cell": [[-5.1256, 1.2579, 1.1795], [-3.8210, -3.8248, -0.1281], [-1.4577, -2.6651, 8.9047]], "species": ["Al", "Al", "Al", "Al", "Al", "Al", "Al", "Al", "Al", "Pu", "Pu", "Zr"], "fractional_positions": [[0.5840, 0.0785, 0.7534], [0.4160, 0.4160, 0.2466], [0.5840, 0.5840, 0.7534], [0.9215, 0.4160, 0.2466], [0.4160, 0.9215, 0.2466], [0.0785, 0.5840, 0.7534], [0.5000, 0.5000, 0.5000], [0.3341, 0.3341, 0.9976], [0.6659, 0.6659, 0.0024], [0.1449, 0.1449, 0.5653], [0.8551, 0.8551, 0.4347], [0.0000, 0.0000, 0.0000]], "n_ef_per_ev_fu": 14.290, "volume_a3_per_cell": 225, "e_form_ev_per_atom": -0.219, "magnetic_moment_mub_per_cell": 11.37, "spacegroup": "No. 166"}



Record 11
{"formula": "RbAl", "functional": "GGA-PBE", "state": "optimized geometry", "cell": [[10.2442, 0.0000, 0.0000], [0.0000, 10.2442, 0.0000], [0.0000, 0.0000, 10.2442]], "species": ["Al", "Al", "Al", "Al", "Al", "Al", "Rb", "Rb", "Rb", "Rb", "Rb", "Rb"], "fractional_positions": [[0.2500, 0.0000, 0.5000], [0.5000, 0.7500, 0.0000], [0.0000, 0.5000, 0.2500], [0.5000, 0.2500, 0.0000], [0.7500, 0.0000, 0.5000], [0.0000, 0.5000, 0.7500], [0.2500, 0.5000, 0.0000], [0.0000, 0.7500, 0.5000], [0.5000, 0.0000, 0.7500], [0.5000, 0.0000, 0.2500], [0.7500, 0.5000, 0.0000], [0.0000, 0.2500, 0.5000]], "n_ef_per_ev_fu": 2.477, "volume_a3_per_cell": 1075, "e_form_ev_per_atom": 1.179, "de_polymorph_ev_per_atom": 1.016, "magnetic_moment_mub_per_cell": 0.00, "spacegroup": "No. 223"}



Record 12
{"formula": "RbAl", "functional": "GGA-PBE", "state": "optimized geometry", "cell": [[-7.3024, 5.6292, -5.3412], [-5.7472, -8.8514, -1.4713], [-5.2141, 1.8726, 9.1021]], "species": ["Al", "Al", "Al", "Al", "Al", "Al", "Al", "Al", "Rb", "Rb", "Rb", "Rb", "Rb", "Rb", "Rb", "Rb"], "fractional_positions": [[0.9094, 0.9094, 0.0906], [0.5906, 0.5906, 0.5906], [0.5906, 0.4094, 0.4094], [0.4094, 0.4094, 0.5906], [0.4094, 0.5906, 0.4094], [0.0906, 0.0906, 0.0906], [0.9094, 0.0906, 0.9094], [0.0906, 0.9094, 0.9094], [0.7887, 0.2113, 0.2113], [0.7113, 0.2887, 0.7113], [0.2113, 0.7887, 0.2113], [0.2887, 0.7113, 0.7113], [0.2887, 0.2887, 0.2887], [0.2113, 0.2113, 0.7887], [0.7887, 0.7887, 0.7887], [0.7113, 0.7113, 0.2887]], "n_ef_per_ev_fu": 1.437, "volume_a3_per_cell": 1210, "e_form_ev_per_atom": 0.466, "de_polymorph_ev_per_atom": 0.303, "magnetic_moment_mub_per_cell": 8.37, "spacegroup": "No. 217"}



Record 13
{"formula": "RbAl", "functional": "GGA-PBE", "state": "optimized geometry", "cell": [[-1.9335, -0.7929, 5.6964], [10.8745, -4.7986, 3.0232], [1.5868, 4.3136, 1.1390]], "species": ["Al", "Al", "Al", "Al", "Rb", "Rb", "Rb", "Rb"], "fractional_positions": [[0.0000, 0.5356, 0.2500], [0.5000, 0.0356, 0.2500], [0.0000, 0.4644, 0.7500], [0.5000, 0.9644, 0.7500], [0.0000, 0.8488, 0.2500], [0.0000, 0.1512, 0.7500], [0.5000, 0.3488, 0.2500], [0.5000, 0.6512, 0.7500]], "n_ef_per_ev_fu": 0.659, "volume_a3_per_cell": 352, "e_form_ev_per_atom": 0.229, "de_polymorph_ev_per_atom": 0.066, "magnetic_moment_mub_per_cell": 0.00, "spacegroup": "No. 63"}



Record 14
{"formula": "Rb4Al", "functional": "GGA-PBE", "state": "optimized geometry", "cell": [[-7.2389, -0.2189, 0.4423], [0.4774, -4.7518, 5.4624], [0.1248, 5.4788, 4.7552]], "species": ["Rb", "Rb", "Rb", "Rb", "Al"], "fractional_positions": [[0.0000, 0.5000, 0.5000], [0.0000, 0.0000, 0.0000], [0.5000, 0.5000, 0.0000], [0.5000, 0.0000, 0.5000], [0.5000, 0.5000, 0.5000]], "n_ef_per_ev_fu": 5.548, "volume_a3_per_cell": 382, "e_form_ev_per_atom": 0.282, "magnetic_moment_mub_per_cell": 0.00, "spacegroup": "No. 221"}



Record 15
{"formula": "RbAl", "functional": "GGA-PBE", "state": "optimized geometry", "cell": [[4.6779, 0.0000, -0.0019], [0.0000, 6.4843, 0.0000], [-4.6531, 0.0000, 10.9575]], "species": ["Al", "Al", "Al", "Al", "Rb", "Rb", "Rb", "Rb"], "fractional_positions": [[0.2068, 0.0000, 0.4566], [0.7932, 0.0000, 0.5434], [0.2068, 0.5000, 0.9566], [0.7932, 0.5000, 0.0434], [0.5948, 0.0000, 0.8417], [0.4052, 0.5000, 0.6583], [0.5948, 0.5000, 0.3417], [0.4052, 0.0000, 0.1583]], "n_ef_per_ev_fu": 0.453, "volume_a3_per_cell": 332, "e_form_ev_per_atom": 0.223, "de_polymorph_ev_per_atom": 0.060, "magnetic_moment_mub_per_cell": 0.00, "spacegroup": "No. 12"}



Record 16
{"formula": "RbAl", "functional": "GGA-PBE", "state": "optimized geometry", "cell": [[-10.8952, 8.3954, -0.2753], [-7.9113, -10.4076, -4.2846], [-0.9640, -1.1046, 4.4632]], "species": ["Al", "Al", "Al", "Al", "Al", "Al", "Al", "Al", "Rb", "Rb", "Rb", "Rb", "Rb", "Rb", "Rb", "Rb"], "fractional_positions": [[0.2745, 0.7255, 0.5000], [0.7255, 0.7255, 0.5000], [0.2745, 0.2745, 0.5000], [0.7255, 0.2745, 0.5000], [0.7745, 0.7745, 0.0000], [0.2255, 0.2255, 0.0000], [0.7745, 0.2255, 0.0000], [0.2255, 0.7745, 0.0000], [0.5000, 0.2486, 0.0000], [0.7514, 0.5000, 0.0000], [0.2486, 0.5000, 0.0000], [0.2514, 0.0000, 0.5000], [0.0000, 0.7486, 0.5000], [0.7486, 0.0000, 0.5000], [0.5000, 0.7514, 0.0000], [0.0000, 0.2514, 0.5000]], "n_ef_per_ev_fu": 0.803, "volume_a3_per_cell": 889, "e_form_ev_per_atom": 0.266, "de_polymorph_ev_per_atom": 0.103, "magnetic_moment_mub_per_cell": 0.00, "spacegroup": "No. 139"}



Record 17
{"formula": "RbAl", "functional": "GGA-PBE", "state": "optimized geometry", "cell": [[4.6606, 0.0000, 0.0002], [-2.3282, 4.0376, -0.0041], [-0.2827, -2.4547, 10.1682]], "species": ["Rb", "Rb", "Al", "Al"], "fractional_positions": [[0.4048, 0.8414, 0.7391], [0.5952, 0.1586, 0.2609], [0.8333, 0.6667, 0.0000], [0.1667, 0.3333, 0.0000]], "n_ef_per_ev_fu": 1.907, "volume_a3_per_cell": 191, "e_form_ev_per_atom": 0.163, "de_polymorph_ev_per_atom": 0.000, "magnetic_moment_mub_per_cell": 0.00, "spacegroup": "No. 2"}



Record 18
{"formula": "RbAl", "functional": "GGA-PBE", "state": "optimized geometry", "cell": [[4.3042, 0.0000, 0.0000], [0.0000, 4.3042, 0.0000], [0.0000, 0.0000, 4.3042]], "species": ["Al", "Rb"], "fractional_positions": [[0.5000, 0.5000, 0.5000], [0.0000, 0.0000, 0.0000]], "n_ef_per_ev_fu": 2.759, "volume_a3_per_cell": 80, "e_form_ev_per_atom": 0.665, "de_polymorph_ev_per_atom": 0.502, "magnetic_moment_mub_per_cell": 0.00, "spacegroup": "No. 221"}



Record 19
{"formula": "RbAl", "functional": "GGA-PBE", "state": "optimized geometry", "cell": [[12.7897, 0.0000, 0.0000], [0.0000, 12.7897, 0.0000], [0.0000, 0.0000, 4.2331]], "species": ["Rb", "Rb", "Rb", "Rb", "Rb", "Rb", "Rb", "Rb", "Al", "Al", "Al", "Al", "Al", "Al", "Al", "Al"], "fractional_positions": [[0.6268, 0.6910, 0.5000], [0.3090, 0.6268, 0.5000], [0.6910, 0.3733, 0.5000], [0.2018, 0.8839, 0.0000], [0.1161, 0.2018, 0.0000], [0.3733, 0.3090, 0.5000], [0.7982, 0.1161, 0.0000], [0.8839, 0.7982, 0.0000], [0.0788, 0.5735, 0.0000], [0.4265, 0.0788, 0.0000], [0.5735, 0.9212, 0.0000], [0.0848, 0.4359, 0.5000], [0.9212, 0.4265, 0.0000], [0.5641, 0.0848, 0.5000], [0.9152, 0.5641, 0.5000], [0.4359, 0.9152, 0.5000]], "n_ef_per_ev_fu": 0.927, "volume_a3_per_cell": 692, "e_form_ev_per_atom": 0.224, "de_polymorph_ev_per_atom": 0.061, "magnetic_moment_mub_per_cell": 0.00, "spacegroup": "No. 83"}



Record 20
{"formula": "RbAl", "functional": "GGA-PBE", "state": "optimized geometry", "cell": [[-3.0063, 5.5445, -2.6239], [-2.8430, -0.7353, 1.7035], [6.6351, 11.1067, 15.8670]], "species": ["Rb", "Rb", "Rb", "Rb", "Rb", "Rb", "Al", "Al", "Al", "Al", "Al", "Al"], "fractional_positions": [[0.5000, 0.4937, 0.0000], [0.5000, 0.5028, 0.6667], [0.0000, 0.4972, 0.8333], [0.0000, 0.5063, 0.5000], [0.0000, 0.4972, 0.1667], [0.5000, 0.5028, 0.3333], [0.0000, 0.9943, 0.0000], [0.5000, 0.9958, 0.8336], [0.0000, 0.0042, 0.6664], [0.5000, 0.9958, 0.1664], [0.0000, 0.0042, 0.3336], [0.5000, 0.0057, 0.5000]], "n_ef_per_ev_fu": 1.745, "volume_a3_per_cell": 475, "e_form_ev_per_atom": 0.629, "de_polymorph_ev_per_atom": 0.466, "magnetic_moment_mub_per_cell": 0.00, "spacegroup": "No. 59"}